Density functional theory data (PBE) for an optimized crystal structure of Tb2Sm6Tm3Pu.

Values from the calculation:
DFT total energy ... -5.40 eV/atom

a = 6.188 Å, b = 6.188 Å, c = 11.723 Å
α = 95.05°, β = 95.05°, γ = 120.02°
Site moments in Bohr magnetons follow the coordinates.
Sites, in units of the cell vectors:
Sm 0.753 0.753 0.250  0.02
Tm 0.500 0.500 0.500  -0.05
Sm 0.587 0.917 0.750  0.03
Sm 0.413 0.083 0.250  0.03
Sm 0.247 0.247 0.750  0.02
Sm 0.083 0.413 0.250  0.03
Sm 0.917 0.587 0.750  0.03
Tm 0.167 0.833 0.500  -0.05
Tb 0.333 0.667 0.000  0.14
Pu 0.000 0.000 0.000  5.60
Tb 0.667 0.333 0.000  0.14
Tm 0.833 0.167 0.500  -0.05